#A
Compound: RbNa2Ca2
Source: Alexandria via LeMat-Bulk
Functional: PBE
Structure: relaxed

abc: 10.8838 10.8838 4.0175
angles: 90.00 90.00 90.00
Positions (direct):
Rb 0.0000 0.0000 0.0000
Rb 0.5000 0.5000 0.0000
Na 0.1650 0.3350 0.0000
Na 0.3350 0.8350 0.0000
Na 0.6650 0.1650 0.0000
Na 0.8350 0.6650 0.0000
Ca 0.1255 0.6255 0.5000
Ca 0.3745 0.1255 0.5000
Ca 0.6255 0.8745 0.5000
Ca 0.8745 0.3745 0.5000

Results
Volume = 475.9 Å³/cell
Total magnetization = 0.0 μB/cell
D(E_F) = 2.84 states/eV/f.u.

=====

#B
Compound: RbNa2Ca2
Source: Alexandria via LeMat-Bulk
Functional: PBE
Structure: relaxed

abc: 10.1922 10.1922 10.1922
angles: 150.57 150.57 42.11
Positions (direct):
Rb 0.0000 0.0000 0.0000
Na 0.2500 0.7500 0.5000
Na 0.7500 0.2500 0.5000
Ca 0.3937 0.3937 0.0000
Ca 0.6063 0.6063 0.0000

Results
Volume = 255.0 Å³/cell
Total magnetization = 0.0 μB/cell
D(E_F) = 5.77 states/eV/f.u.

=====

Q: Which of them is the least stable? A: #B.